Record 1
## SrSi3 (GGA-PBE)

Data for SrSi3 after structural relaxation.

```
SrSi3
1.0
3.9479 0.0000 0.0000
0.0000 3.9479 0.0000
0.0000 0.0000 5.6320
Sr Si
1 3
Direct
0.0000 0.0000 0.0000
0.0000 0.5000 0.5373
0.5000 0.0000 0.5373
0.5000 0.5000 0.2689
```

Properties
- Energy: -18.387 eV for the cell shown
- D(E_F): 0.9 states/eV/cell
- Formation energy (no corrections): -0.109 eV per atom


Record 2
## SrSi6 (GGA-PBE)

Data for SrSi6 after structural relaxation.

```
SrSi6
1.0
-3.3695 3.3695 3.3695
3.3695 -3.3695 3.3695
3.3695 3.3695 -3.3695
Sr Si
1 6
Direct
0.0000 0.0000 0.0000
0.2500 0.5000 0.7500
0.2500 0.7500 0.5000
0.5000 0.2500 0.7500
0.5000 0.7500 0.2500
0.7500 0.2500 0.5000
0.7500 0.5000 0.2500
```

Properties
- Energy: -34.448 eV for the cell shown
- D(E_F): 3.3 states/eV/cell
- Formation energy (no corrections): -0.033 eV per atom
- E above lowest polymorph: 0.0570 eV/atom


Record 3
## SrSi3 (GGA-PBE)

Data for SrSi3 after structural relaxation.

```
SrSi3
1.0
-1.8073 2.9200 4.3608
1.8073 -2.9200 4.3608
1.8073 2.9200 -4.3608
Sr Si
1 3
Direct
0.0000 0.0000 0.0000
0.3153 0.8153 0.5000
0.5000 0.5000 0.0000
0.6847 0.1847 0.5000
```

Properties
- Energy: -17.116 eV for the cell shown
- D(E_F): 2.8 states/eV/cell
- Formation energy (no corrections): 0.209 eV per atom


Record 4
## SrSi23 (GGA-PBE)

Data for SrSi23 after structural relaxation.

```
SrSi23
1.0
10.2493 0.0000 0.0000
0.0000 10.2493 0.0000
0.0000 0.0000 10.2493
Sr Si
2 46
Direct
0.0000 0.0000 0.0000
0.5000 0.5000 0.5000
0.0000 0.1166 0.3089
0.0000 0.1166 0.6911
0.0000 0.2500 0.5000
0.0000 0.7500 0.5000
0.0000 0.8834 0.3089
0.0000 0.8834 0.6911
0.1166 0.3089 0.0000
0.1166 0.6911 0.0000
0.1841 0.1841 0.1841
0.1841 0.1841 0.8159
0.1841 0.8159 0.1841
0.1841 0.8159 0.8159
0.1911 0.3834 0.5000
0.1911 0.6166 0.5000
0.2500 0.5000 0.0000
0.3089 0.0000 0.1166
0.3089 0.0000 0.8834
0.3159 0.3159 0.3159
0.3159 0.3159 0.6841
0.3159 0.6841 0.3159
0.3159 0.6841 0.6841
0.3834 0.5000 0.1911
0.3834 0.5000 0.8089
0.5000 0.0000 0.2500
0.5000 0.0000 0.7500
0.5000 0.1911 0.3834
0.5000 0.1911 0.6166
0.5000 0.8089 0.3834
0.5000 0.8089 0.6166
0.6166 0.5000 0.1911
0.6166 0.5000 0.8089
0.6841 0.3159 0.3159
0.6841 0.3159 0.6841
0.6841 0.6841 0.3159
0.6841 0.6841 0.6841
0.6911 0.0000 0.1166
0.6911 0.0000 0.8834
0.7500 0.5000 0.0000
0.8089 0.3834 0.5000
0.8089 0.6166 0.5000
0.8159 0.1841 0.1841
0.8159 0.1841 0.8159
0.8159 0.8159 0.1841
0.8159 0.8159 0.8159
0.8834 0.3089 0.0000
0.8834 0.6911 0.0000
```

Properties
- Energy: -251.153 eV for the cell shown
- D(E_F): 13.9 states/eV/cell
- Formation energy (no corrections): 0.035 eV per atom


Record 5
## SrSi7 (GGA-PBE)

Data for SrSi7 after structural relaxation.

```
SrSi7
1.0
0.0000 4.1313 4.1313
4.1313 0.0000 4.1313
4.1313 4.1313 0.0000
Sr Si
1 7
Direct
0.0000 0.0000 0.0000
0.0000 0.0000 0.5000
0.0000 0.5000 0.0000
0.0000 0.5000 0.5000
0.5000 0.0000 0.0000
0.5000 0.0000 0.5000
0.5000 0.5000 0.0000
0.5000 0.5000 0.5000
```

Properties
- Energy: -35.513 eV for the cell shown
- D(E_F): 3.4 states/eV/cell
- Formation energy (no corrections): 0.516 eV per atom


Record 6
## Sr2Si (GGA-PBE)

Data for Sr2Si after structural relaxation.

```
Sr2Si
1.0
8.1188 0.0000 0.0000
0.0000 5.1401 0.0000
0.0000 0.0000 9.6178
Sr Si
8 4
Direct
0.0189 0.2500 0.1739
0.1511 0.2500 0.5778
0.3489 0.7500 0.0778
0.4811 0.7500 0.6739
0.5189 0.2500 0.3261
0.6511 0.2500 0.9222
0.8489 0.7500 0.4222
0.9811 0.7500 0.8261
0.2478 0.7500 0.3972
0.2522 0.2500 0.8972
0.7478 0.7500 0.1028
0.7522 0.2500 0.6028
```

Properties
- Energy: -39.589 eV for the cell shown
- Formation energy (no corrections): -0.370 eV per atom


Record 7
## SrSi2 (GGA-PBE)

Data for SrSi2 after structural relaxation.

```
SrSi2
1.0
6.5575 0.0000 0.0000
0.0000 6.5575 0.0000
0.0000 0.0000 6.5575
Sr Si
4 8
Direct
0.1250 0.3750 0.6250
0.3750 0.6250 0.1250
0.6250 0.1250 0.3750
0.8750 0.8750 0.8750
0.0779 0.9221 0.4221
0.1721 0.1721 0.1721
0.3279 0.8279 0.6721
0.4221 0.0779 0.9221
0.5779 0.5779 0.5779
0.6721 0.3279 0.8279
0.8279 0.6721 0.3279
0.9221 0.4221 0.0779
```

Properties
- Energy: -54.506 eV for the cell shown
- D(E_F): 1.7 states/eV/cell
- Formation energy (no corrections): -0.366 eV per atom


Record 8
## SrSi6 (GGA-PBE)

Data for SrSi6 after structural relaxation.

```
SrSi6
1.0
2.2317 -5.1721 0.0000
2.2317 5.1721 0.0000
0.0000 0.0000 11.7519
Sr Si
2 12
Direct
0.2236 0.7764 0.7500
0.7764 0.2236 0.2500
0.0597 0.9403 0.1478
0.0597 0.9403 0.3522
0.2542 0.7458 0.0384
0.2542 0.7458 0.4616
0.4776 0.5224 0.1013
0.4776 0.5224 0.3987
0.5224 0.4776 0.6013
0.5224 0.4776 0.8987
0.7458 0.2542 0.5384
0.7458 0.2542 0.9616
0.9403 0.0597 0.6478
0.9403 0.0597 0.8522
```

Properties
- Energy: -69.693 eV for the cell shown
- D(E_F): 3.6 states/eV/cell
- Formation energy (no corrections): -0.089 eV per atom
- E above lowest polymorph: 0.0000 eV/atom


Record 9
## SrSi3 (GGA-PBE)

Data for SrSi3 after structural relaxation.

```
SrSi3
1.0
4.9463 2.8557 0.9545
-4.9463 2.8557 0.9545
0.0000 -5.7115 0.9545
Sr Si
1 3
Direct
0.0000 0.0000 0.0000
0.0000 0.5000 0.5000
0.5000 0.0000 0.5000
0.5000 0.5000 0.0000
```

Properties
- Energy: -15.996 eV for the cell shown
- D(E_F): 2.1 states/eV/cell
- Formation energy (no corrections): 0.489 eV per atom


Record 10
## Sr6Si7 (GGA-PBE)

Data for Sr6Si7 after structural relaxation.

```
Sr6Si7
1.0
3.2049 1.8503 10.4734
-3.2049 1.8503 10.4734
0.0000 -3.7007 10.4734
Sr Si
6 7
Direct
0.0648 0.0648 0.0648
0.1807 0.1807 0.1807
0.3219 0.3219 0.3219
0.6781 0.6781 0.6781
0.8193 0.8193 0.8193
0.9352 0.9352 0.9352
0.1712 0.5441 0.5441
0.4559 0.4559 0.8288
0.4559 0.8288 0.4559
0.5000 0.5000 0.5000
0.5441 0.1712 0.5441
0.5441 0.5441 0.1712
0.8288 0.4559 0.4559
```

Properties
- Energy: -50.149 eV for the cell shown
- D(E_F): 6.1 states/eV/cell
- Formation energy (no corrections): -0.161 eV per atom


Going through the records in order, we get volume values of 87.8 153.0 92.1 1076.7 141.0 401.4 282.0 271.3 80.9 372.6 Å³ per cell.